# 1
Material: KZn2BCl2O3
Method: DFT, SCAN
State: PBEsol geometry

Unit cell a=9.1100 b=9.1100 c=9.1100 alpha=31.61 beta=31.61 gamma=31.61
Last column: nearest neighbours and their distance in Å.
Fractional coordinates of all 9 atoms:
K1 0.0000 0.0000 0.0000  6 Cl 3.17
Zn1 0.1948 0.1948 0.1948  3 O 1.95
Zn2 0.8052 0.8052 0.8052  3 O 1.95
B1 0.5000 0.5000 0.5000  3 O 1.38
Cl1 0.2812 0.2812 0.2812  1 Zn 2.24
Cl2 0.7188 0.7188 0.7188  1 Zn 2.24
O1 0.2222 0.5000 0.7778  1 B 1.38
O2 0.5000 0.7778 0.2222  1 B 1.38
O3 0.7778 0.2222 0.5000  1 B 1.38

## Properties
calculated volume: 184.4 Å³/f.u.
total moment: 0.0 μB per formula unit
energy: -95.55 eV for the cell shown

=====

# 2
Material: Ba2Te2Mo
Method: DFT, SCAN
State: PBEsol geometry

Unit cell a=6.7089 b=6.7089 c=6.7089 alpha=119.52 beta=119.52 gamma=90.83
Last column: nearest neighbours and their distance in Å.
Fractional coordinates of all 5 atoms:
Ba1 0.2500 0.7500 0.5000  4 Te 3.40
Ba2 0.7500 0.2500 0.5000  4 Te 3.40
Te1 0.2108 0.2108 0.0000  1 Mo 2.72
Te2 0.7892 0.7892 0.0000  1 Mo 2.72
Mo1 0.5000 0.5000 0.0000  2 Te 2.72

## Properties
calculated volume: 215.0 Å³/f.u.
total moment: 4.1 μB per formula unit
energy: -190.97 eV for the cell shown

=====

# 3
Material: MgCdFe
Method: DFT, SCAN
State: PBEsol geometry

Unit cell a=4.5170 b=4.5170 c=2.8343 alpha=90.00 beta=90.00 gamma=120.00
Last column: nearest neighbours and their distance in Å.
Fractional coordinates of all 3 atoms:
Mg1 0.0000 0.0000 0.0000  3 Cd 2.78, 3 Fe 2.79, 2 Mg 2.83
Cd1 0.6667 0.3333 0.6592  3 Fe 2.75, 3 Mg 2.78, 2 Cd 2.83
Fe1 0.3333 0.6667 0.3479  3 Cd 2.75, 3 Mg 2.79, 2 Fe 2.83

## Properties
calculated volume: 50.1 Å³/f.u.
total moment: 2.7 μB per formula unit
formation energy from the elements: 0.63 eV/f.u.

=====

# 4
Material: Cu2Pt
Method: DFT, SCAN
State: PBEsol geometry

Unit cell a=8.6835 b=8.3020 c=4.5176 alpha=79.30 beta=69.96 gamma=30.74
Last column: nearest neighbours and their distance in Å.
Fractional coordinates of all 12 atoms:
Cu1 0.0000 0.0000 0.0000  8 Cu 2.50-2.74, 4 Pt 2.62
Cu2 0.0793 0.0793 0.4207  9 Cu 2.56-2.64, 3 Pt 2.59
Cu3 0.1589 0.1589 0.8411  9 Cu 2.50-2.61, 3 Pt 2.57-2.64
Cu4 0.2422 0.2422 0.2578  7 Cu 2.56-2.64, 5 Pt 2.59-2.72
Cu5 0.4977 0.4977 0.5023  6 Pt 2.56-2.77, 6 Cu 2.60-2.64
Cu6 0.5793 0.5793 0.9207  9 Cu 2.56-2.64, 3 Pt 2.59
Cu7 0.7422 0.7422 0.7578  7 Cu 2.56-2.64, 5 Pt 2.59-2.72
Cu8 0.8261 0.8261 0.1739  7 Pt 2.61-2.66, 5 Cu 2.62-2.74
Pt1 0.3220 0.3220 0.6780  8 Cu 2.57-2.77, 4 Pt 2.69
Pt2 0.4151 0.4151 0.0849  8 Cu 2.59-2.72, 4 Pt 2.64-2.69
Pt3 0.6602 0.6602 0.3398  12 Cu 2.56-2.64
Pt4 0.9151 0.9151 0.5849  8 Cu 2.59-2.72, 4 Pt 2.64-2.69

## Properties
calculated volume: 38.1 Å³/f.u.
total moment: 0.0 μB per formula unit
relative energy among the computed polymorphs: 3.6 kJ per mole of atoms
formation energy from the elements: -0.38 eV/f.u.

=====

# 5
Material: CuTeAs2
Method: DFT, SCAN
State: PBEsol geometry

Unit cell a=6.0624 b=6.0624 c=6.0624 alpha=143.54 beta=143.54 gamma=52.52
Last column: nearest neighbours and their distance in Å.
Fractional coordinates of all 4 atoms:
Cu1 0.0000 0.0000 0.0000  4 Te 2.68
Te1 0.5000 0.5000 0.0000  4 Cu 2.68
As1 0.2500 0.7500 0.5000  4 As 2.68
As2 0.7500 0.2500 0.5000  4 As 2.68

## Properties
calculated volume: 78.2 Å³/f.u.
total moment: 0.0 μB per formula unit
energy: -91.00 eV for the cell shown

=====

# 6
Material: SrCuGe2Te
Method: DFT, SCAN
State: PBEsol geometry

Unit cell a=5.3094 b=5.3094 c=5.9838 alpha=90.00 beta=90.00 gamma=90.00
Last column: nearest neighbours and their distance in Å.
Fractional coordinates of all 5 atoms:
Sr1 0.0000 0.0000 0.0000  2 Te 2.99
Cu1 0.5000 0.5000 0.0000  4 Sr 3.75, 8 Ge 4.00
Ge1 0.0000 0.5000 0.5000  2 Te 2.65
Ge2 0.5000 0.0000 0.5000  2 Te 2.65
Te1 0.0000 0.0000 0.5000  4 Ge 2.65

## Properties
calculated volume: 168.7 Å³/f.u.
total moment: 0.0 μB per formula unit
energy: -108.96 eV for the cell shown

=====

# 7
Material: BaLa3C
Method: DFT, SCAN
State: PBEsol geometry

Unit cell a=5.3426 b=5.3426 c=5.3426 alpha=90.00 beta=90.00 gamma=90.00
Last column: nearest neighbours and their distance in Å.
Fractional coordinates of all 5 atoms:
Ba1 0.0000 0.0000 0.0000  12 La 3.78
La1 0.0000 0.5000 0.5000  2 C 2.67
La2 0.5000 0.0000 0.5000  2 C 2.67
La3 0.5000 0.5000 0.0000  2 C 2.67
C1 0.5000 0.5000 0.5000  6 La 2.67

## Properties
calculated volume: 152.5 Å³/f.u.
total moment: 0.0 μB per formula unit
formation energy from the elements: 0.70 eV/f.u.

=====

# 8
Material: KLi4CrO5
Method: DFT, SCAN
State: PBEsol geometry

Unit cell a=5.4997 b=5.7629 c=8.1357 alpha=80.36 beta=81.70 gamma=61.55
Last column: nearest neighbours and their distance in Å.
Fractional coordinates of all 22 atoms:
K1 0.1470 0.2434 0.4134  2 Li 2.74-2.94, 8 O 2.75-2.97
K2 0.8530 0.7566 0.5866  2 Li 2.74-2.94, 8 O 2.75-2.97
Li1 0.2020 0.3588 0.9139  4 O 1.90-2.00
Li2 0.2849 0.6143 0.0886  4 O 1.89-1.98
Li3 0.3294 0.0023 0.1253  5 O 1.92-2.03
Li4 0.4451 0.6723 0.3761  4 O 1.86-2.00
Li5 0.5549 0.3277 0.6239  4 O 1.86-2.00
Li6 0.6706 0.9977 0.8747  5 O 1.92-2.03
Li7 0.7151 0.3857 0.9114  4 O 1.89-1.98
Li8 0.7980 0.6412 0.0861  4 O 1.90-2.00
Cr1 0.2297 0.9040 0.7794  5 O 1.68-1.87
Cr2 0.7703 0.0960 0.2206  5 O 1.68-1.87
O1 0.0447 0.7325 0.9140  1 Cr 1.87, 4 Li 1.89-1.99
O2 0.1125 0.8342 0.2717  1 Cr 1.82, 3 Li 1.87-2.02
O3 0.3476 0.1597 0.7269  1 Cr 1.84, 3 Li 1.86-2.03
O4 0.3684 0.7195 0.6192  1 Cr 1.68
O5 0.4841 0.7669 0.9408  1 Cr 1.85, 5 Li 1.90-2.01
O6 0.5159 0.2331 0.0592  1 Cr 1.85, 5 Li 1.90-2.01
O7 0.6316 0.2805 0.3808  1 Cr 1.68
O8 0.6524 0.8403 0.2731  1 Cr 1.84, 3 Li 1.86-2.03
O9 0.8875 0.1658 0.7283  1 Cr 1.82, 3 Li 1.87-2.02
O10 0.9553 0.2675 0.0860  1 Cr 1.87, 4 Li 1.89-1.99

## Properties
calculated volume: 111.4 Å³/f.u.
total moment: 1.0 μB per formula unit
energy: -180.93 eV for the cell shown

=====

# 9
Material: ReOsSeN2
Method: DFT, SCAN
State: PBEsol geometry

Unit cell a=3.7711 b=3.7711 c=5.3329 alpha=90.00 beta=90.00 gamma=90.00
Last column: nearest neighbours and their distance in Å.
Fractional coordinates of all 5 atoms:
Re1 0.0000 0.0000 0.0000  4 N 1.89
Os1 0.5000 0.5000 0.5000  4 Se 2.67
Se1 0.0000 0.0000 0.5000  2 Re 2.67, 4 Os 2.67
N1 0.0000 0.5000 0.0000  2 Re 1.89
N2 0.5000 0.0000 0.0000  2 Re 1.89

## Properties
calculated volume: 75.8 Å³/f.u.
total moment: 3.0 μB per formula unit
energy: -175.08 eV for the cell shown

=====

# 10
Material: LiHgSbN2
Method: DFT, SCAN
State: PBEsol geometry

Unit cell a=4.2349 b=4.2349 c=5.7616 alpha=90.00 beta=90.00 gamma=90.00
Last column: nearest neighbours and their distance in Å.
Fractional coordinates of all 5 atoms:
Li1 0.0000 0.0000 0.0000  4 Sb 2.99
Hg1 0.5000 0.5000 0.5000  4 N 2.12
Sb1 0.5000 0.5000 0.0000  2 Hg 2.88, 4 Li 2.99
N1 0.0000 0.5000 0.5000  2 Hg 2.12
N2 0.5000 0.0000 0.5000  2 Hg 2.12

## Properties
calculated volume: 103.3 Å³/f.u.
total moment: 3.1 μB per formula unit
energy: -118.13 eV for the cell shown